Record 1
The following is a GGA-PBE calculation of a geometry-optimized TlSiIr2 structure, from the Alexandria database.

Cell and atoms, written as CIF:
```
data_TlSiIr2
_chemical_formula_sum 'Tl2 Si2 Ir4'
_cell_length_a 4.1660
_cell_length_b 4.1754
_cell_length_c 7.3691
_cell_angle_alpha 90.00
_cell_angle_beta 90.00
_cell_angle_gamma 90.00
_symmetry_space_group_name_H-M 'C m m m'
_symmetry_Int_Tables_number 65
_symmetry_space_group_name_Hall '-C 2 2'
loop_
_atom_site_label
_atom_site_fract_x
_atom_site_fract_y
_atom_site_fract_z
Tl1 0.0000 0.0000 0.0000
Si1 0.0000 0.0000 0.5000
Ir1 0.0000 0.5000 0.3057
```

***

Record 2
The following is a GGA-PBE calculation of a geometry-optimized SrZr2AsS structure, from the Alexandria database.

Cell and atoms, written as CIF:
```
data_SrZr2AsS
_chemical_formula_sum 'Sr1 Zr2 As1 S1'
_cell_length_a 4.8323
_cell_length_b 4.8323
_cell_length_c 5.7022
_cell_angle_alpha 90.00
_cell_angle_beta 90.00
_cell_angle_gamma 90.00
_symmetry_space_group_name_H-M 'P 4/m m m'
_symmetry_Int_Tables_number 123
_symmetry_space_group_name_Hall '-P 4 2'
loop_
_atom_site_label
_atom_site_fract_x
_atom_site_fract_y
_atom_site_fract_z
Sr1 0.0000 0.0000 0.0000
Zr1 0.0000 0.5000 0.5000
As1 0.5000 0.5000 0.0000
S1 0.5000 0.5000 0.5000
```

***

Record 3
The following is a GGA-PBE calculation of a geometry-optimized CrBCl2 structure, from the Alexandria database.

Cell and atoms, written as CIF:
```
data_CrBCl2
_chemical_formula_sum 'Cr4 B4 Cl8'
_cell_length_a 6.0166
_cell_length_b 6.0166
_cell_length_c 6.0166
_cell_angle_alpha 90.00
_cell_angle_beta 90.00
_cell_angle_gamma 90.00
_symmetry_space_group_name_H-M 'F m -3 m'
_symmetry_Int_Tables_number 225
_symmetry_space_group_name_Hall '-F 4 2 3'
loop_
_atom_site_label
_atom_site_fract_x
_atom_site_fract_y
_atom_site_fract_z
Cr1 0.0000 0.0000 0.0000
B1 0.0000 0.0000 0.5000
Cl1 0.2500 0.2500 0.2500
```

***

Record 4
The following is a GGA-PBE calculation of a geometry-optimized Li2DyPu3Se6 structure, from the Alexandria database.

Cell and atoms, written as CIF:
```
data_Li2DyPu3Se6
_chemical_formula_sum 'Li4 Dy2 Pu6 Se12'
_cell_length_a 17.8189
_cell_length_b 4.1209
_cell_length_c 8.1427
_cell_angle_alpha 90.00
_cell_angle_beta 102.13
_cell_angle_gamma 90.00
_symmetry_space_group_name_H-M 'C 1 2/m 1'
_symmetry_Int_Tables_number 12
loop_
_symmetry_equiv_pos_as_xyz
'x,y,z'
'-x,-y,-z'
'-x,y,-z'
'x,-y,z'
'x+1/2,y+1/2,z'
'-x+1/2,-y+1/2,-z'
'-x+1/2,y+1/2,-z'
'x+1/2,-y+1/2,z'
loop_
_atom_site_label
_atom_site_fract_x
_atom_site_fract_y
_atom_site_fract_z
Li1 0.1751 0.0000 0.3492
Dy1 0.0000 0.5000 0.0000
Pu1 0.0000 0.5000 0.5000
Pu2 0.1696 0.0000 0.8266
Se1 0.0010 0.0000 0.2465
Se2 0.1642 0.5000 0.0835
Se3 0.1673 0.5000 0.5749
```

***

| no. | magnetic moment (μB/f.u.) | uncorrected formation energy (eV per atom) |
| --- | --- | --- |
| 1 | 0.0 | -0.092 |
| 2 | 0.0 | -0.242 |
| 3 | 0.0 | 1.254 |
| 4 | 16.8 | -1.526 |